Record 1
# Pm3Hf2PaP6

Pm3Hf2PaP6 after structural relaxation (GGA-PBE, the Alexandria database).

Results
As for the crystal system: monoclinic. For the uncorrected energy, the calculation gives -7.76 eV/atom. For the calculated volume, the calculation gives 21.79 A^3/atom. For the formation energy from the elements, the calculation gives -1.4220 eV per atom.

Unit cell a=6.807 b=6.807 c=6.905 alpha=99.48 beta=99.48 gamma=120.03
Fractional positions:
1 P 0.266 0.266 0.776
2 P 0.076 0.417 0.228
3 Hf 0.667 0.333 0.000
4 Pm 0.500 0.500 0.500
5 Pm 0.164 0.836 0.500
6 P 0.734 0.734 0.224
7 Hf 0.333 0.667 0.000
8 P 0.583 0.924 0.772
9 P 0.417 0.076 0.228
10 Pm 0.836 0.164 0.500
11 P 0.924 0.583 0.772
12 Pa 0.000 0.000 0.000


Record 2
# Rb2TbGaSi4O12

Rb2TbGaSi4O12 after structural relaxation (GGA-PBE, the Alexandria database).

Results
As for the crystal system: monoclinic. The calculation puts the raw formation energy at -2.72 eV/atom. For the uncorrected energy, the calculation gives -7.26 eV/atom. For the calculated volume, the calculation gives 15.85 A^3/atom.

Unit cell a=7.376 b=14.129 c=14.194 alpha=64.27 beta=74.94 gamma=74.87
Fractional positions:
1 Si 0.187 0.970 0.705
2 O 0.292 0.795 0.342
3 Rb 0.701 0.617 0.452
4 Rb 0.313 0.416 0.967
5 O 0.135 0.748 0.056
6 O 0.823 0.389 0.621
7 Si 0.813 0.030 0.295
8 Si 0.758 0.421 0.339
9 O 0.615 0.850 0.775
10 Si 0.710 0.203 0.923
11 O 0.242 0.851 0.704
12 O 0.563 0.019 0.836
13 Si 0.165 0.703 0.423
14 O 0.031 0.272 0.077
15 O 0.925 0.849 0.576
16 O 0.746 0.348 0.468
17 O 0.562 0.152 0.032
18 O 0.732 0.943 0.412
19 Ga 0.229 0.914 0.225
20 O 0.758 0.149 0.296
21 Si 0.242 0.579 0.661
22 O 0.419 0.481 0.664
23 O 0.438 0.848 0.968
24 Si 0.804 0.827 0.510
25 Si 0.519 0.079 0.161
26 O 0.047 0.524 0.703
27 O 0.619 0.772 0.577
28 O 0.268 0.057 0.588
29 O 0.328 0.488 0.231
30 O 0.953 0.476 0.297
31 Rb 0.696 0.084 0.533
32 Rb 0.304 0.916 0.467
33 O 0.254 0.652 0.532
34 Si 0.142 0.673 0.990
35 Rb 0.230 0.117 0.952
36 O 0.047 0.012 0.269
37 Ga 0.632 0.414 0.725
38 O 0.203 0.351 0.204
39 O 0.572 0.295 0.842
40 O 0.865 0.252 0.944
41 O 0.385 0.150 0.225
42 O 0.833 0.111 0.879
43 Rb 0.687 0.584 0.033
44 Si 0.861 0.530 0.795
45 Tb 0.949 0.787 0.750
46 Si 0.290 0.797 0.077
47 O 0.273 0.976 0.797
48 Rb 0.770 0.883 0.048
49 O 0.797 0.649 0.796
50 O 0.062 0.248 0.556
51 Rb 0.299 0.383 0.548
52 Si 0.196 0.173 0.490
53 O 0.969 0.728 0.923
54 O 0.381 0.228 0.423
55 O 0.708 0.205 0.658
56 O 0.672 0.512 0.769
57 O 0.914 0.443 0.912
58 Si 0.835 0.297 0.577
59 O 0.086 0.557 0.088
60 Tb 0.513 0.287 0.250
61 O 0.938 0.752 0.444
62 O 0.581 0.519 0.336
63 Ga 0.368 0.586 0.275
64 Si 0.858 0.327 0.010
65 O 0.351 0.651 0.924
66 Ga 0.771 0.086 0.775
67 O 0.428 0.705 0.158
68 Tb 0.487 0.713 0.750
69 Tb 0.051 0.213 0.250
70 O 0.953 0.988 0.731
71 O 0.075 0.151 0.424
72 Si 0.481 0.921 0.839
73 Si 0.139 0.470 0.205
74 O 0.727 0.024 0.203
75 O 0.760 0.350 0.275
76 O 0.167 0.889 0.121
77 O 0.177 0.611 0.379
78 O 0.240 0.650 0.725
79 O 0.437 0.981 0.164
80 O 0.649 0.349 0.076